This record from Alexandria describes MgInSb2 after structural relaxation. The functional is GGA-PBE.

Unit cell a=6.703 b=6.703 c=12.661 alpha=90.00 beta=90.00 gamma=90.00
Fractional positions:
Mg1 0.000 0.000 0.000
Mg2 0.000 0.500 0.250
Mg3 0.500 0.000 0.750
Mg4 0.500 0.500 0.500
In1 0.000 0.000 0.500
In2 0.000 0.500 0.750
In3 0.500 0.000 0.250
In4 0.500 0.500 0.000
Sb1 0.249 0.250 0.125
Sb2 0.250 0.749 0.375
Sb3 0.250 0.751 0.875
Sb4 0.251 0.250 0.625
Sb5 0.749 0.750 0.625
Sb6 0.750 0.249 0.875
Sb7 0.750 0.251 0.375
Sb8 0.751 0.750 0.125

## Properties
As for the uncorrected formation energy: -45 meV per atom. The value obtained for the total energy is -3.1895 eV per atom. The energy above the most stable polymorph in this dataset is 0.96 kcal/mol of atoms. The density of states at the Fermi level is 12.5 states/eV per cell. The calculation puts the spin magnetization at 0.00 μB per cell. As for the space group: I-42d.

This record from Alexandria describes LaPrTe2 after structural relaxation. The functional is GGA-PBE.

Unit cell a=4.466 b=4.466 c=15.493 alpha=90.00 beta=90.00 gamma=120.00
Fractional positions:
La1 0.333 0.667 0.250
La2 0.667 0.333 0.750
Pr1 0.000 0.000 0.000
Pr2 0.000 0.000 0.500
Te1 0.333 0.667 0.623
Te2 0.333 0.667 0.877
Te3 0.667 0.333 0.123
Te4 0.667 0.333 0.377

## Properties
As for the uncorrected formation energy: -1501 meV per atom. The value obtained for the total energy is -5.4982 eV per atom. The energy above the most stable polymorph in this dataset is 0.52 kcal/mol of atoms. The density of states at the Fermi level is 4.8 states/eV per cell. The calculation puts the spin magnetization at 0.00 μB per cell. As for the space group: P6_3/mmc.

This record from Alexandria describes Nd5Hg2Ir after structural relaxation. The functional is GGA-PBE.

Unit cell a=7.136 b=7.136 c=12.929 alpha=90.00 beta=90.00 gamma=130.75
Fractional positions:
Nd1 0.074 0.926 0.605
Nd2 0.074 0.926 0.895
Nd3 0.372 0.628 0.575
Nd4 0.372 0.628 0.925
Nd5 0.381 0.619 0.250
Nd6 0.619 0.381 0.750
Nd7 0.628 0.372 0.075
Nd8 0.628 0.372 0.425
Nd9 0.926 0.074 0.105
Nd10 0.926 0.074 0.395
Hg1 0.178 0.822 0.126
Hg2 0.178 0.822 0.374
Hg3 0.822 0.178 0.626
Hg4 0.822 0.178 0.874
Ir1 0.228 0.772 0.750
Ir2 0.772 0.228 0.250

## Properties
The value obtained for the total energy is -4.3551 eV per atom. The energy above the most stable polymorph in this dataset is 6.06 kcal/mol of atoms. The density of states at the Fermi level is 19.5 states/eV per cell. The calculation puts the spin magnetization at 0.04 μB per cell. As for the space group: Cmcm.

Q: Among the records above, which one has the highest spin magnetization?
A: Nd5Hg2Ir

Copy entry 1 word for word.
This record from Alexandria describes MgInSb2 after structural relaxation. The functional is GGA-PBE.

Unit cell a=6.703 b=6.703 c=12.661 alpha=90.00 beta=90.00 gamma=90.00
Fractional positions:
Mg1 0.000 0.000 0.000
Mg2 0.000 0.500 0.250
Mg3 0.500 0.000 0.750
Mg4 0.500 0.500 0.500
In1 0.000 0.000 0.500
In2 0.000 0.500 0.750
In3 0.500 0.000 0.250
In4 0.500 0.500 0.000
Sb1 0.249 0.250 0.125
Sb2 0.250 0.749 0.375
Sb3 0.250 0.751 0.875
Sb4 0.251 0.250 0.625
Sb5 0.749 0.750 0.625
Sb6 0.750 0.249 0.875
Sb7 0.750 0.251 0.375
Sb8 0.751 0.750 0.125

## Properties
As for the uncorrected formation energy: -45 meV per atom. The value obtained for the total energy is -3.1895 eV per atom. The energy above the most stable polymorph in this dataset is 0.96 kcal/mol of atoms. The density of states at the Fermi level is 12.5 states/eV per cell. The calculation puts the spin magnetization at 0.00 μB per cell. As for the space group: I-42d.